DFT (PBE-GGA) results for an optimized crystal structure of HoTmZn2Si2.

Cell lengths 4.127, 4.127, 15.534 Å; angles 90.00, 90.00, 120.00 degrees
Positions (direct):
Ho (0.000, 0.000, 0.000)
Ho (0.000, 0.000, 0.500)
Si (0.333, 0.667, 0.119)
Si (0.333, 0.667, 0.381)
Si (0.667, 0.333, 0.619)
Si (0.667, 0.333, 0.881)
Tm (0.000, 0.000, 0.250)
Tm (0.000, 0.000, 0.750)
Zn (0.667, 0.333, 0.139)
Zn (0.667, 0.333, 0.361)
Zn (0.333, 0.667, 0.639)
Zn (0.333, 0.667, 0.861)

Summary:
**Energy**: -4.354 eV/atom